No. 1
# ZrTaV2B

A geometry-optimized ZrTaV2B structure (PBE, Alexandria).

Computed properties:
Its symmetry is No. 123. For the calculated volume, the calculation gives 15.64 Å³ per atom. As for the total magnetization: 0.00 μB per formula unit. The offset from the most stable computed form comes out at 0.000 eV/atom. The value obtained for the formation energy is 0.7 eV/f.u.

abc: 4.1099 4.6307 4.1099
angles: 90.00 90.00 90.00
With the nearest neighbours (Å) after each atom.
Sites, in units of the cell vectors:
Ta1 0.5000 0.5000 0.5000  4 Zr 2.91, 8 V 3.10
Zr1 0.0000 0.5000 0.0000  2 B 2.32
B1 0.0000 0.0000 0.0000  4 V 2.05
V1 0.0000 0.0000 0.5000  2 B 2.05
V2 0.5000 0.0000 0.0000  2 B 2.05

No. 2
# Te2IrSe

A geometry-optimized Te2IrSe structure (PBE, Alexandria).

Computed properties:
Its symmetry is No. 160. For the calculated volume, the calculation gives 24.74 Å³ per atom. The value obtained for the formation energy (no corrections) is 0.01 eV per atom. As for the total magnetization: 0.00 μB per formula unit.

abc: 8.2729 8.2729 8.2729
angles: 26.44 26.44 26.44
With the nearest neighbours (Å) after each atom.
Sites, in units of the cell vectors:
Te1 0.2288 0.2288 0.2288  3 Ir 2.69
Te2 0.9961 0.9961 0.9961  3 Te 3.25, 3 Se 3.52
Se1 0.7781 0.7781 0.7781  3 Ir 2.52
Ir1 0.4970 0.4970 0.4970  3 Se 2.52, 3 Te 2.69

No. 3
# La2TlP

A geometry-optimized La2TlP structure (PBE, Alexandria).

Computed properties:
Its symmetry is No. 160. For the calculated volume, the calculation gives 32.30 Å³ per atom. As for the total magnetization: 1.41 μB per formula unit. The offset from the most stable computed form comes out at 0.644 eV/atom. The value obtained for the formation energy is -1.3 eV/f.u.

abc: 9.1776 9.1776 9.1776
angles: 25.82 25.82 25.82
With the nearest neighbours (Å) after each atom.
Sites, in units of the cell vectors:
Tl1 0.7714 0.7714 0.7714  3 P 2.82
La1 0.0067 0.0067 0.0067  3 Tl 3.52, 3 La 3.85
La2 0.2260 0.2260 0.2260  3 P 2.91
P1 0.4958 0.4958 0.4958  3 Tl 2.82, 3 La 2.91

No. 4
# Sm2SBr

A geometry-optimized Sm2SBr structure (PBE, Alexandria).

Computed properties:
Its symmetry is No. 166. For the calculated volume, the calculation gives 25.39 Å³ per atom. The value obtained for the formation energy (no corrections) is -1.56 eV per atom. As for the total magnetization: 0.00 μB per formula unit. The offset from the most stable computed form comes out at 0.000 eV/atom.

abc: 3.9252 3.9252 7.9428
angles: 75.69 75.69 60.00
With the nearest neighbours (Å) after each atom.
Sites, in units of the cell vectors:
S1 0.0000 0.0000 0.0000  6 Sm 2.73
Br1 0.5000 0.5000 0.5000  6 Sm 3.21
Sm1 0.2665 0.2665 0.2004  3 S 2.73
Sm2 0.7335 0.7335 0.7996  3 S 2.73

No. 5
# Ce3Tl2Hg2

A geometry-optimized Ce3Tl2Hg2 structure (PBE, Alexandria).

Computed properties:
Its symmetry is No. 65. For the calculated volume, the calculation gives 27.10 Å³ per atom. As for the total magnetization: 3.65 μB per formula unit. The value obtained for the formation energy is -2.0 eV/f.u.

abc: 4.8991 3.3651 11.7662
angles: 90.00 77.98 90.00
With the nearest neighbours (Å) after each atom.
Sites, in units of the cell vectors:
Hg1 0.7148 0.5000 0.5704  2 Hg 2.94, 1 Tl 3.19, 4 Ce 3.26
Hg2 0.2852 0.5000 0.4296  2 Hg 2.94, 1 Tl 3.19, 4 Ce 3.26
Tl1 0.5761 0.5000 0.8478  1 Hg 3.19, 3 Tl 3.37-3.50, 8 Ce 3.45-3.50
Tl2 0.4239 0.5000 0.1522  1 Hg 3.19, 3 Tl 3.37-3.50, 8 Ce 3.45-3.50
Ce1 0.0000 0.0000 0.0000  4 Ce 3.37-3.60, 8 Tl 3.45
Ce2 0.1563 0.0000 0.6874  6 Hg 3.26-3.41, 3 Ce 3.37-3.60, 4 Tl 3.50
Ce3 0.8437 0.0000 0.3126  6 Hg 3.26-3.41, 3 Ce 3.37-3.60, 4 Tl 3.50

No. 6
# La2Sm6HoEr3

A geometry-optimized La2Sm6HoEr3 structure (PBE, Alexandria).

Computed properties:
Its symmetry is No. 12. For the calculated volume, the calculation gives 33.28 Å³ per atom. As for the total magnetization: 0.00 μB per formula unit. The value obtained for the formation energy is 0.3 eV/f.u.

abc: 6.2589 6.2589 11.9564
angles: 95.02 95.02 120.02
With the nearest neighbours (Å) after each atom.
Sites, in units of the cell vectors:
La1 0.3335 0.6665 0.0000  3 La 3.61, 3 Ho 3.61-3.62, 6 Sm 3.66
La2 0.6665 0.3335 0.0000  3 La 3.61, 3 Ho 3.61-3.62, 6 Sm 3.66
Ho1 0.0000 0.0000 0.0000  6 La 3.61-3.62, 6 Sm 3.65-3.66
Sm1 0.0852 0.4171 0.2552  3 Er 3.55-3.56, 6 Sm 3.60-3.62, 1 Ho 3.65, 2 La 3.66
Sm2 0.9148 0.5829 0.7448  3 Er 3.55-3.56, 6 Sm 3.60-3.62, 1 Ho 3.65, 2 La 3.66
Sm3 0.2467 0.2467 0.7445  3 Er 3.55-3.56, 6 Sm 3.60-3.62, 1 Ho 3.66, 2 La 3.66
Sm4 0.4171 0.0852 0.2552  3 Er 3.55-3.56, 6 Sm 3.60-3.62, 1 Ho 3.65, 2 La 3.66
Sm5 0.7533 0.7533 0.2555  3 Er 3.55-3.56, 6 Sm 3.60-3.62, 1 Ho 3.66, 2 La 3.66
Sm6 0.5829 0.9148 0.7448  3 Er 3.55-3.56, 6 Sm 3.60-3.62, 1 Ho 3.65, 2 La 3.66
Er1 0.1663 0.8337 0.5000  6 Sm 3.55-3.56, 6 Er 3.61-3.62
Er2 0.5000 0.5000 0.5000  6 Sm 3.55-3.56, 6 Er 3.61-3.62
Er3 0.8337 0.1663 0.5000  6 Sm 3.55-3.56, 6 Er 3.61-3.62

No. 7
# PmSm2Al9

A geometry-optimized PmSm2Al9 structure (PBE, Alexandria).

Computed properties:
Its symmetry is No. 166. For the calculated volume, the calculation gives 20.27 Å³ per atom. As for the total magnetization: 0.00 μB per formula unit. The value obtained for the formation energy is -4.6 eV/f.u.

abc: 5.6443 5.6443 9.3989
angles: 72.53 72.53 60.00
With the nearest neighbours (Å) after each atom.
Sites, in units of the cell vectors:
Al1 0.5867 0.5867 0.7511  7 Al 2.71-2.89
Al2 0.4133 0.4133 0.2489  7 Al 2.71-2.89
Al3 0.3354 0.3354 0.9937  6 Al 2.71-2.76
Al4 0.5000 0.5000 0.5000  6 Al 2.77
Al5 0.9246 0.4133 0.2489  7 Al 2.71-2.89
Al6 0.6646 0.6646 0.0063  6 Al 2.71-2.76
Al7 0.4133 0.9246 0.2489  7 Al 2.71-2.89
Al8 0.5867 0.0754 0.7511  7 Al 2.71-2.89
Al9 0.0754 0.5867 0.7511  7 Al 2.71-2.89
Pm1 0.0000 0.0000 0.0000  18 Al 3.26-3.57
Sm1 0.8583 0.8583 0.4250  12 Al 3.22-3.33, 3 Sm 3.52
Sm2 0.1417 0.1417 0.5750  12 Al 3.22-3.33, 3 Sm 3.52

No. 8
# NaVC

A geometry-optimized NaVC structure (PBE, Alexandria).

Computed properties:
Its symmetry is No. 1. For the calculated volume, the calculation gives 15.38 Å³ per atom. As for the total magnetization: 0.00 μB per formula unit. The offset from the most stable computed form comes out at 0.355 eV/atom. The value obtained for the formation energy is 0.8 eV/f.u.

abc: 3.1059 3.1060 11.9799
angles: 109.66 109.61 60.05
With the nearest neighbours (Å) after each atom.
Sites, in units of the cell vectors:
V1 0.7853 0.2558 0.8276  3 C 1.95
V2 0.9254 0.3932 0.6033  3 C 1.93
C1 0.5358 0.0032 0.5380  3 V 1.93
C2 0.5117 0.9826 0.8970  3 V 1.95
Na1 0.3219 0.7939 0.0636  3 C 2.57
Na2 0.0578 0.5237 0.3702  3 C 2.58